(1)
A plane-wave DFT calculation with PBE was carried out for crystalline HfTeS at its relaxed geometry.

Results
Mass density ... 6.3 g/cm³
Energy above the most stable polymorph in this dataset ... 0 meV per atom
Raw formation energy ... -1.20 eV per atom
DOS at the Fermi energy ... 0.5 states/eV/f.u.

a b c (Å): 3.796 3.796 7.122
angles (deg): 90.00 90.00 120.00
Positions (direct):
Hf: 0.000 0.000 0.000
Te: 0.667 0.333 0.268
S: 0.333 0.667 0.818

=====

(2)
A plane-wave DFT calculation with PBE was carried out for crystalline HfTe2S6 at its relaxed geometry.

Results
Mass density ... 4.1 g/cm³
Raw formation energy ... -0.46 eV per atom

a b c (Å): 7.083 7.083 11.365
angles (deg): 118.79 118.79 30.76
Positions (direct):
Hf: 0.000 0.000 0.000
Te: 0.334 0.334 0.670
Te: 0.666 0.666 0.330
S: 0.004 0.004 0.227
S: 0.325 0.325 0.425
S: 0.350 0.350 0.911
S: 0.650 0.650 0.089
S: 0.675 0.675 0.575
S: 0.996 0.996 0.773

=====

(3)
A plane-wave DFT calculation with PBE was carried out for crystalline Hf3TeS at its relaxed geometry.

Results
Mass density ... 10.4 g/cm³
Energy above the most stable polymorph in this dataset ... 0 meV per atom
Raw formation energy ... -0.21 eV per atom
DOS at the Fermi energy ... 6.0 states/eV/f.u.

a b c (Å): 4.804 4.804 4.804
angles (deg): 90.00 90.00 90.00
Positions (direct):
Hf: 0.000 0.000 0.500
Hf: 0.000 0.500 0.000
Hf: 0.500 0.000 0.000
Te: 0.500 0.500 0.500
S: 0.000 0.000 0.000

=====

(4)
A plane-wave DFT calculation with PBE was carried out for crystalline Hf4Te5S at its relaxed geometry.

Results
Mass density ... 8.8 g/cm³
Raw formation energy ... -0.89 eV per atom
DOS at the Fermi energy ... 3.9 states/eV/f.u.

a b c (Å): 8.909 8.909 7.958
angles (deg): 102.10 102.10 24.98
Positions (direct):
Hf: 0.002 0.002 0.290
Hf: 0.354 0.354 0.430
Hf: 0.646 0.646 0.570
Hf: 0.998 0.998 0.710
Te: 0.165 0.165 0.841
Te: 0.172 0.172 0.317
Te: 0.500 0.500 0.000
Te: 0.828 0.828 0.683
Te: 0.835 0.835 0.159
S: 0.500 0.500 0.500

=====

(5)
A plane-wave DFT calculation with PBE was carried out for crystalline Hf2TeS6 at its relaxed geometry.

Results
Mass density ... 4.6 g/cm³
Raw formation energy ... -1.02 eV per atom

a b c (Å): 8.892 8.892 8.128
angles (deg): 109.00 109.00 24.00
Positions (direct):
Hf: 0.169 0.169 0.338
Hf: 0.831 0.831 0.662
Te: 0.500 0.500 0.000
S: 0.013 0.013 0.243
S: 0.325 0.325 0.439
S: 0.338 0.338 0.886
S: 0.662 0.662 0.114
S: 0.675 0.675 0.561
S: 0.987 0.987 0.757

=====

(6)
A plane-wave DFT calculation with PBE was carried out for crystalline Hf4TeS at its relaxed geometry.

Results
Mass density ... 10.4 g/cm³
Raw formation energy ... -0.41 eV per atom
DOS at the Fermi energy ... 3.1 states/eV/f.u.

a b c (Å): 7.830 5.553 6.883
angles (deg): 90.00 111.20 90.00
Positions (direct):
Hf: 0.147 0.229 0.324
Hf: 0.147 0.271 0.824
Hf: 0.247 0.707 0.118
Hf: 0.247 0.793 0.618
Hf: 0.753 0.207 0.382
Hf: 0.753 0.293 0.882
Hf: 0.853 0.729 0.176
Hf: 0.853 0.771 0.676
Te: 0.500 0.000 0.000
Te: 0.500 0.500 0.500
S: 0.000 0.000 0.000
S: 0.000 0.500 0.500

=====

(7)
A plane-wave DFT calculation with PBE was carried out for crystalline HfTeS at its relaxed geometry.

Results
Mass density ... 6.2 g/cm³
Energy above the most stable polymorph in this dataset ... 8 meV per atom
Raw formation energy ... -1.19 eV per atom
DOS at the Fermi energy ... 0.6 states/eV/f.u.

a b c (Å): 7.642 7.642 6.568
angles (deg): 91.92 91.92 28.39
Positions (direct):
Hf: 0.000 0.000 0.000
Hf: 0.500 0.500 0.500
Te: 0.129 0.129 0.344
Te: 0.871 0.871 0.656
S: 0.409 0.409 0.163
S: 0.591 0.591 0.837

=====

(8)
A plane-wave DFT calculation with PBE was carried out for crystalline HfTlTeS2 at its relaxed geometry.

Results
Mass density ... 6.8 g/cm³
Raw formation energy ... 0.77 eV per atom
DOS at the Fermi energy ... 3.4 states/eV/f.u.

a b c (Å): 4.959 4.959 5.668
angles (deg): 90.00 90.00 90.00
Positions (direct):
Hf: 0.000 0.000 0.000
Tl: 0.500 0.500 0.500
Te: 0.500 0.500 0.000
S: 0.000 0.500 0.500
S: 0.500 0.000 0.500

=====

Q: Look up the mass density of the second one.
A: 4.1 g/cm³

=====

Q: Which of these has the lowest raw formation energy?
A: number 1